[1]
SiHg5 (GGA-PBE, optimized geometry); total moment = 0.0 μB/f.u.; formation energy (no corrections) = 0.290 eV per atom; SG = P-62m
1.0
5.936 0.000 0.000
-2.968 5.141 0.000
0.000 0.000 4.737
Si Hg
1 5
Direct
0.000 0.000 0.000
0.000 0.689 0.500
0.311 0.311 0.500
0.333 0.667 0.000
0.667 0.333 0.000
0.689 0.000 0.500

***

[2]
AgSbMoI2 (GGA-PBE, optimized geometry); total moment = 3.5 μB/f.u.; formation energy (no corrections) = 1.147 eV per atom; SG = P4/mmm
1.0
5.659 0.000 0.000
0.000 5.659 0.000
0.000 0.000 5.439
Ag Sb Mo I
1 1 1 2
Direct
0.000 0.000 0.000
0.000 0.000 0.500
0.500 0.500 0.500
0.000 0.500 0.000
0.500 0.000 0.000

***

[3]
K2NdYTe4 (GGA-PBE, optimized geometry); total moment = 0.0 μB/f.u.; formation energy (no corrections) = -1.413 eV per atom; SG = P2/m
1.0
7.900 0.000 0.000
0.000 4.561 0.000
-2.631 0.000 8.253
K Nd Y Te
2 1 1 4
Direct
0.000 0.000 0.000
0.500 0.500 0.000
0.000 0.500 0.500
0.500 0.000 0.500
0.244 0.000 0.713
0.270 0.500 0.290
0.730 0.500 0.710
0.756 0.000 0.287